## SrIn2RhAu (meta-GGA SCAN)

Data for SrIn2RhAu at its PBEsol-relaxed geometry.

POSCAR file:
```
SrIn2RhAu
1.0
-4.7379 -1.4463 -0.9775
-0.9677 -0.1772 4.9525
-1.6131 5.3675 -0.1231
In Sr Au Rh
2 1 1 1
Cartesian
-0.4838 -0.0886 2.4763
-2.3690 -0.7232 -0.4887
-0.8066 2.6837 -0.0616
0.0000 0.0000 0.0000
-3.6594 1.8720 1.9259
```

Calculated values
symmetry: No. 123
DFT formation energy: 0.29 eV per atom
raw total energy: -38.104 eV per atom

=====

## TePtPb (meta-GGA SCAN)

Data for TePtPb at its PBEsol-relaxed geometry.

POSCAR file:
```
TePtPb
1.0
6.6036 0.0000 0.0000
0.0000 6.6036 0.0000
0.0000 0.0000 6.6036
Pt Pb Te
4 4 4
Cartesian
3.2443 3.3592 0.0575
6.5461 6.5461 6.5461
0.0575 3.2443 3.3592
3.3592 0.0575 3.2443
0.8772 5.7263 2.4245
2.4245 0.8772 5.7263
4.1790 4.1790 4.1790
5.7263 2.4245 0.8772
2.4526 2.4526 2.4526
4.1510 5.7544 0.8492
0.8492 4.1510 5.7544
5.7544 0.8492 4.1510
```

Calculated values
symmetry: No. 198
energy above the most stable polymorph in this dataset: 0.000 eV per atom
raw total energy: -61.539 eV per atom
ΔE_f (raw): -0.46 eV/atom

=====

## Sb2PtPb (meta-GGA SCAN)

Data for Sb2PtPb at its PBEsol-relaxed geometry.

POSCAR file:
```
Sb2PtPb
1.0
-5.4561 -3.1357 0.3560
0.6587 -0.4363 6.2534
-0.7449 7.3374 -2.5862
Sb Pt Pb
4 2 2
Cartesian
-1.1205 5.0315 -0.7548
-3.5948 3.2956 1.8324
-1.9689 0.0968 4.9790
-4.4003 -0.8931 1.9895
-2.3987 -1.7860 3.3047
-4.2999 1.2079 0.5372
-1.2424 2.5576 3.4859
0.0000 0.0000 0.0000
```

Calculated values
symmetry: No. 122
raw total energy: -55.292 eV per atom
ΔE_f (raw): -0.17 eV/atom

=====

## RbBOF2 (meta-GGA SCAN)

Data for RbBOF2 at its PBEsol-relaxed geometry.

POSCAR file:
```
RbBOF2
1.0
-0.0479 2.4734 3.6734
-2.9008 -3.2353 2.1406
3.8790 -2.3829 1.6550
B Rb F O
1 1 2 1
Cartesian
0.4652 -1.5724 3.7345
0.0000 0.0000 0.0000
-1.4504 -1.6177 1.0703
1.9395 -1.1915 0.8275
-0.0239 1.2367 1.8367
```

Calculated values
symmetry: No. 123
raw total energy: -7.701 eV per atom
ΔE_f (raw): 0.59 eV/atom

=====

## BePt5 (meta-GGA SCAN)

Data for BePt5 at its PBEsol-relaxed geometry.

POSCAR file:
```
BePt5
1.0
2.7140 0.0000 0.0000
0.0000 4.5681 0.0000
-1.3570 0.0000 6.9281
Pt Be
5 1
Cartesian
1.3570 2.2841 0.0000
1.3570 0.0000 1.9523
0.0000 2.2841 2.3123
1.3570 2.2841 4.6159
0.0000 0.0000 4.9758
0.0000 0.0000 0.0000
```

Calculated values
symmetry: No. 65
energy above the most stable polymorph in this dataset: 0.071 eV per atom
DFT formation energy: -0.24 eV per atom
raw total energy: -59.459 eV per atom

=====

## BaMgCd2 (meta-GGA SCAN)

Data for BaMgCd2 at its PBEsol-relaxed geometry.

POSCAR file:
```
BaMgCd2
1.0
-1.6525 -1.7085 4.2701
2.8145 -2.8124 -2.8327
3.5451 4.5690 3.2000
Mg Ba Cd
1 1 2
Cartesian
3.0279 -1.7020 0.4908
3.6962 1.6111 2.0750
0.7275 0.3180 0.4088
1.0163 -1.5613 2.5652
```

Calculated values
symmetry: No. 160
DFT formation energy: -0.27 eV per atom
raw total energy: -26.603 eV per atom

=====

## YMo2Rh (meta-GGA SCAN)

Data for YMo2Rh at its PBEsol-relaxed geometry.

POSCAR file:
```
YMo2Rh
1.0
3.2607 0.0000 0.0000
0.0000 4.8445 0.0000
-1.6304 -2.4223 4.3777
Mo Rh Y
2 1 1
Cartesian
1.6304 2.4223 4.1424
0.0000 2.4223 2.2896
1.6304 2.4223 0.1385
1.6304 0.0000 2.1848
```

Calculated values
symmetry: No. 44
energy above the most stable polymorph in this dataset: 0.078 eV per atom
DFT formation energy: 0.14 eV per atom
raw total energy: -32.706 eV per atom

=====

## Fe2PbBr2 (meta-GGA SCAN)

Data for Fe2PbBr2 at its PBEsol-relaxed geometry.

POSCAR file:
```
Fe2PbBr2
1.0
4.5306 0.0000 0.0000
0.0000 4.5306 0.0000
-2.2653 -2.2653 5.0955
Br Fe Pb
2 2 1
Cartesian
0.0000 2.2653 2.5478
2.2653 0.0000 2.5478
0.0000 0.0000 3.9914
2.2653 2.2653 1.1041
0.0000 0.0000 0.0000
```

Calculated values
symmetry: No. 139
raw total energy: -29.916 eV per atom
ΔE_f (raw): 0.28 eV/atom

=====

## BaHgSe (meta-GGA SCAN)

Data for BaHgSe at its PBEsol-relaxed geometry.

POSCAR file:
```
BaHgSe
1.0
-0.4543 -2.2233 -4.7142
1.8853 -4.8118 -0.8156
-3.2839 -4.0134 -0.6941
Ba Hg Se
1 1 1
Cartesian
-0.9265 -5.5242 -3.1120
-0.4632 -2.7621 -1.5560
0.0000 0.0000 0.0000
```

Calculated values
symmetry: No. 216
energy above the most stable polymorph in this dataset: 0.194 eV per atom
raw total energy: -43.691 eV per atom
ΔE_f (raw): -1.09 eV/atom

=====

## Co2AsPtC (meta-GGA SCAN)

Data for Co2AsPtC at its PBEsol-relaxed geometry.

POSCAR file:
```
Co2AsPtC
1.0
3.8176 0.0000 0.0000
0.0000 3.8176 0.0000
0.0000 0.0000 4.1275
Pt Co As C
1 2 1 1
Cartesian
0.0000 0.0000 2.0637
1.9088 0.0000 0.0000
0.0000 1.9088 0.0000
1.9088 1.9088 2.0637
0.0000 0.0000 0.0000
```

Calculated values
symmetry: No. 123
DFT formation energy: 0.38 eV per atom
raw total energy: -26.638 eV per atom

=====

## MgNiSbAu2 (meta-GGA SCAN)

Data for MgNiSbAu2 at its PBEsol-relaxed geometry.

POSCAR file:
```
MgNiSbAu2
1.0
4.7257 0.0000 0.0000
0.0000 4.7257 0.0000
0.0000 0.0000 5.1293
Mg Ni Sb Au
1 1 1 2
Cartesian
0.0000 0.0000 0.0000
2.3629 2.3629 2.5646
0.0000 0.0000 2.5646
0.0000 2.3629 0.0000
2.3629 0.0000 0.0000
```

Calculated values
symmetry: No. 123
raw total energy: -38.422 eV per atom
ΔE_f (raw): 0.92 eV/atom

=====

## FeGeTe2I (meta-GGA SCAN)

Data for FeGeTe2I at its PBEsol-relaxed geometry.

POSCAR file:
```
FeGeTe2I
1.0
-3.1806 3.7214 -0.7740
-2.7269 -2.9370 -2.9159
-2.8242 -1.5415 4.1938
Te I Ge Fe
2 1 1 1
Cartesian
-1.3634 -1.4685 -1.4579
-1.5903 1.8607 -0.3870
-1.4121 -0.7708 2.0969
-4.3658 -0.3786 0.2520
0.0000 0.0000 0.0000
```

Calculated values
symmetry: No. 123
raw total energy: -29.143 eV per atom
ΔE_f (raw): 0.55 eV/atom

=====

Repeat the ninth record exactly.
## BaHgSe (meta-GGA SCAN)

Data for BaHgSe at its PBEsol-relaxed geometry.

POSCAR file:
```
BaHgSe
1.0
-0.4543 -2.2233 -4.7142
1.8853 -4.8118 -0.8156
-3.2839 -4.0134 -0.6941
Ba Hg Se
1 1 1
Cartesian
-0.9265 -5.5242 -3.1120
-0.4632 -2.7621 -1.5560
0.0000 0.0000 0.0000
```

Calculated values
symmetry: No. 216
energy above the most stable polymorph in this dataset: 0.194 eV per atom
raw total energy: -43.691 eV per atom
ΔE_f (raw): -1.09 eV/atom

=====

Q: What is the raw total energy in the third record?
A: -55.292 eV per atom

=====

Q: What is the raw total energy in the third record?
A: -55.292 eV per atom

=====

Q: Which of these has the highest raw total energy?
A: RbBOF2